(1)
# ZrAsBr2F (PBE, optimized geometry)
# magnetization = 0.00 μB/cell
# offset from the most stable computed form = 0.4236 eV/atom
# formation energy without anion corrections = -0.13 eV/atom
# space group = P4/mmm
data_ZrAsBr2F
_symmetry_space_group_name_H-M 'P 1'
_symmetry_Int_Tables_number 1
_symmetry_space_group_name_Hall 'P 1'
_cell_length_a 5.261
_cell_length_b 5.261
_cell_length_c 3.918
_cell_angle_alpha 90.00
_cell_angle_beta 90.00
_cell_angle_gamma 90.00
loop_
_atom_site_label
_atom_site_fract_x
_atom_site_fract_y
_atom_site_fract_z
Zr1 0.000 0.000 0.000
As1 0.500 0.500 0.000
Br1 0.000 0.500 0.500
Br2 0.500 0.000 0.500
F1 0.500 0.500 0.500

(2)
# In5ICl4 (PBE, optimized geometry)
# magnetization = 0.00 μB/cell
# formation energy without anion corrections = -0.72 eV/atom
# space group = C2/m
data_In5ICl4
_symmetry_space_group_name_H-M 'P 1'
_symmetry_Int_Tables_number 1
_symmetry_space_group_name_Hall 'P 1'
_cell_length_a 7.901
_cell_length_b 7.901
_cell_length_c 11.431
_cell_angle_alpha 117.69
_cell_angle_beta 117.69
_cell_angle_gamma 33.87
loop_
_atom_site_label
_atom_site_fract_x
_atom_site_fract_y
_atom_site_fract_z
In1 0.000 0.000 0.000
In2 0.200 0.200 0.819
In3 0.379 0.379 0.606
In4 0.621 0.621 0.394
In5 0.800 0.800 0.181
I1 0.000 0.000 0.500
Cl1 0.207 0.207 0.273
Cl2 0.430 0.430 0.135
Cl3 0.570 0.570 0.865
Cl4 0.793 0.793 0.727

(3)
# TbPmTlAu (PBE, optimized geometry)
# calculated formation energy = -2.18 eV/f.u.
# magnetization = 0.79 μB/cell
# offset from the most stable computed form = 0.0541 eV/atom
# space group = F-43m
data_TbPmTlAu
_symmetry_space_group_name_H-M 'P 1'
_symmetry_Int_Tables_number 1
_symmetry_space_group_name_Hall 'P 1'
_cell_length_a 7.521
_cell_length_b 7.521
_cell_length_c 7.521
_cell_angle_alpha 90.00
_cell_angle_beta 90.00
_cell_angle_gamma 90.00
loop_
_atom_site_label
_atom_site_fract_x
_atom_site_fract_y
_atom_site_fract_z
Tb1 0.000 0.000 0.000
Tb2 0.000 0.500 0.500
Tb3 0.500 0.000 0.500
Tb4 0.500 0.500 0.000
Pm1 0.000 0.000 0.500
Pm2 0.000 0.500 0.000
Pm3 0.500 0.000 0.000
Pm4 0.500 0.500 0.500
Tl1 0.250 0.250 0.750
Tl2 0.250 0.750 0.250
Tl3 0.750 0.250 0.250
Tl4 0.750 0.750 0.750
Au1 0.250 0.250 0.250
Au2 0.250 0.750 0.750
Au3 0.750 0.250 0.750
Au4 0.750 0.750 0.250

(4)
# Rb2TiTeAs (PBE, optimized geometry)
# magnetization = 1.00 μB/cell
# offset from the most stable computed form = 0.3494 eV/atom
# formation energy without anion corrections = 0.25 eV/atom
# space group = P4/mmm
data_Rb2TiTeAs
_symmetry_space_group_name_H-M 'P 1'
_symmetry_Int_Tables_number 1
_symmetry_space_group_name_Hall 'P 1'
_cell_length_a 6.802
_cell_length_b 6.802
_cell_length_c 5.271
_cell_angle_alpha 90.00
_cell_angle_beta 90.00
_cell_angle_gamma 90.00
loop_
_atom_site_label
_atom_site_fract_x
_atom_site_fract_y
_atom_site_fract_z
Rb1 0.000 0.500 0.000
Rb2 0.500 0.000 0.000
Ti1 0.000 0.000 0.500
Te1 0.000 0.000 0.000
As1 0.500 0.500 0.500

(5)
# Tb2Dy6Er3Pu (PBE, optimized geometry)
# calculated formation energy = 0.53 eV/f.u.
# magnetization = 6.47 μB/cell
# space group = C2/m
data_Tb2Dy6Er3Pu
_symmetry_space_group_name_H-M 'P 1'
_symmetry_Int_Tables_number 1
_symmetry_space_group_name_Hall 'P 1'
_cell_length_a 6.106
_cell_length_b 6.106
_cell_length_c 11.649
_cell_angle_alpha 95.02
_cell_angle_beta 95.02
_cell_angle_gamma 120.02
loop_
_atom_site_label
_atom_site_fract_x
_atom_site_fract_y
_atom_site_fract_z
Tb1 0.167 0.833 0.000
Tb2 0.833 0.167 0.000
Dy1 0.087 0.417 0.750
Dy2 0.253 0.253 0.250
Dy3 0.417 0.087 0.750
Dy4 0.583 0.913 0.250
Dy5 0.747 0.747 0.750
Dy6 0.913 0.583 0.250
Er1 0.000 0.000 0.500
Er2 0.333 0.667 0.500
Er3 0.667 0.333 0.500
Pu1 0.500 0.500 0.000

(6)
# Tm4TeC2 (PBE, optimized geometry)
# magnetization = 0.00 μB/cell
# offset from the most stable computed form = 0.0293 eV/atom
# formation energy without anion corrections = -0.61 eV/atom
# space group = R-3m
data_Tm4TeC2
_symmetry_space_group_name_H-M 'P 1'
_symmetry_Int_Tables_number 1
_symmetry_space_group_name_Hall 'P 1'
_cell_length_a 13.300
_cell_length_b 13.300
_cell_length_c 13.300
_cell_angle_alpha 15.82
_cell_angle_beta 15.82
_cell_angle_gamma 15.82
loop_
_atom_site_label
_atom_site_fract_x
_atom_site_fract_y
_atom_site_fract_z
Tm1 0.122 0.122 0.122
Tm2 0.277 0.277 0.277
Tm3 0.723 0.723 0.723
Tm4 0.878 0.878 0.878
Te1 0.000 0.000 0.000
C1 0.423 0.423 0.423
C2 0.577 0.577 0.577

(7)
# ScTiSn2 (PBE, optimized geometry)
# calculated formation energy = -1.06 eV/f.u.
# magnetization = 0.00 μB/cell
# offset from the most stable computed form = 0.0759 eV/atom
# space group = R-3m
data_ScTiSn2
_symmetry_space_group_name_H-M 'P 1'
_symmetry_Int_Tables_number 1
_symmetry_space_group_name_Hall 'P 1'
_cell_length_a 3.784
_cell_length_b 3.784
_cell_length_c 22.618
_cell_angle_alpha 90.00
_cell_angle_beta 90.00
_cell_angle_gamma 120.00
loop_
_atom_site_label
_atom_site_fract_x
_atom_site_fract_y
_atom_site_fract_z
Sc1 0.000 0.000 0.000
Sc2 0.333 0.667 0.667
Sc3 0.667 0.333 0.333
Ti1 0.000 0.000 0.500
Ti2 0.333 0.667 0.167
Ti3 0.667 0.333 0.833
Sn1 0.000 0.000 0.245
Sn2 0.000 0.000 0.755
Sn3 0.333 0.667 0.422
Sn4 0.333 0.667 0.911
Sn5 0.667 0.333 0.089
Sn6 0.667 0.333 0.578

(8)
# CaCuCBr (PBE, optimized geometry)
# magnetization = 0.00 μB/cell
# offset from the most stable computed form = 0.0000 eV/atom
# formation energy without anion corrections = 0.02 eV/atom
# space group = Pmmm
data_CaCuCBr
_symmetry_space_group_name_H-M 'P 1'
_symmetry_Int_Tables_number 1
_symmetry_space_group_name_Hall 'P 1'
_cell_length_a 3.665
_cell_length_b 4.751
_cell_length_c 5.201
_cell_angle_alpha 90.00
_cell_angle_beta 90.00
_cell_angle_gamma 90.00
loop_
_atom_site_label
_atom_site_fract_x
_atom_site_fract_y
_atom_site_fract_z
Ca1 0.000 0.000 0.000
Cu1 0.500 0.000 0.500
C1 0.000 0.000 0.500
Br1 0.500 0.500 0.000

(9)
# Ho3Al9Zn2 (PBE, optimized geometry)
# calculated formation energy = -4.91 eV/f.u.
# magnetization = 0.00 μB/cell
# space group = Immm
data_Ho3Al9Zn2
_symmetry_space_group_name_H-M 'P 1'
_symmetry_Int_Tables_number 1
_symmetry_space_group_name_Hall 'P 1'
_cell_length_a 8.236
_cell_length_b 8.236
_cell_length_c 8.236
_cell_angle_alpha 149.85
_cell_angle_beta 104.44
_cell_angle_gamma 83.44
loop_
_atom_site_label
_atom_site_fract_x
_atom_site_fract_y
_atom_site_fract_z
Ho1 0.000 0.000 0.000
Ho2 0.313 0.313 0.000
Ho3 0.687 0.687 0.000
Al1 0.029 0.657 0.373
Al2 0.139 0.861 0.278
Al3 0.284 0.657 0.627
Al4 0.417 0.139 0.278
Al5 0.500 0.000 0.500
Al6 0.583 0.861 0.722
Al7 0.716 0.343 0.373
Al8 0.861 0.139 0.722
Al9 0.971 0.343 0.627
Zn1 0.298 0.500 0.798
Zn2 0.702 0.500 0.202

(10)
# MnSb2As (PBE, optimized geometry)
# magnetization = 11.27 μB/cell
# formation energy without anion corrections = 0.17 eV/atom
# space group = R-3m
data_MnSb2As
_symmetry_space_group_name_H-M 'P 1'
_symmetry_Int_Tables_number 1
_symmetry_space_group_name_Hall 'P 1'
_cell_length_a 3.967
_cell_length_b 3.967
_cell_length_c 20.415
_cell_angle_alpha 90.00
_cell_angle_beta 90.00
_cell_angle_gamma 120.00
loop_
_atom_site_label
_atom_site_fract_x
_atom_site_fract_y
_atom_site_fract_z
Mn1 0.000 0.000 0.000
Mn2 0.333 0.667 0.667
Mn3 0.667 0.333 0.333
Sb1 0.000 0.000 0.254
Sb2 0.000 0.000 0.746
Sb3 0.333 0.667 0.412
Sb4 0.333 0.667 0.921
Sb5 0.667 0.333 0.079
Sb6 0.667 0.333 0.588
As1 0.000 0.000 0.500
As2 0.333 0.667 0.167
As3 0.667 0.333 0.833

(11)
# Tm3Ge2Os (PBE, optimized geometry)
# calculated formation energy = -3.86 eV/f.u.
# magnetization = 0.00 μB/cell
# space group = Pnma
data_Tm3Ge2Os
_symmetry_space_group_name_H-M 'P 1'
_symmetry_Int_Tables_number 1
_symmetry_space_group_name_Hall 'P 1'
_cell_length_a 11.635
_cell_length_b 4.175
_cell_length_c 11.033
_cell_angle_alpha 90.00
_cell_angle_beta 90.00
_cell_angle_gamma 90.00
loop_
_atom_site_label
_atom_site_fract_x
_atom_site_fract_y
_atom_site_fract_z
Tm1 0.055 0.250 0.126
Tm2 0.122 0.750 0.555
Tm3 0.228 0.250 0.793
Tm4 0.272 0.750 0.293
Tm5 0.378 0.250 0.055
Tm6 0.445 0.750 0.626
Tm7 0.555 0.250 0.374
Tm8 0.622 0.750 0.945
Tm9 0.728 0.250 0.707
Tm10 0.772 0.750 0.207
Tm11 0.878 0.250 0.445
Tm12 0.945 0.750 0.874
Ge1 0.007 0.750 0.309
Ge2 0.189 0.750 0.999
Ge3 0.311 0.250 0.499
Ge4 0.493 0.250 0.809
Ge5 0.507 0.750 0.191
Ge6 0.689 0.750 0.501
Ge7 0.811 0.250 0.001
Ge8 0.993 0.250 0.691
Os1 0.128 0.250 0.370
Os2 0.372 0.750 0.870
Os3 0.628 0.250 0.130
Os4 0.872 0.750 0.630

(12)
# BaLa2CdNi (PBE, optimized geometry)
# calculated formation energy = -0.19 eV/f.u.
# magnetization = 0.00 μB/cell
# offset from the most stable computed form = 0.0517 eV/atom
# space group = P4/mmm
data_BaLa2CdNi
_symmetry_space_group_name_H-M 'P 1'
_symmetry_Int_Tables_number 1
_symmetry_space_group_name_Hall 'P 1'
_cell_length_a 5.405
_cell_length_b 5.405
_cell_length_c 6.179
_cell_angle_alpha 90.00
_cell_angle_beta 90.00
_cell_angle_gamma 90.00
loop_
_atom_site_label
_atom_site_fract_x
_atom_site_fract_y
_atom_site_fract_z
Ba1 0.000 0.000 0.000
La1 0.000 0.500 0.500
La2 0.500 0.000 0.500
Cd1 0.500 0.500 0.000
Ni1 0.000 0.000 0.500

(13)
# CdTe3 (PBE, optimized geometry)
# magnetization = 0.00 μB/cell
# formation energy without anion corrections = -0.03 eV/atom
# space group = R-3m
data_CdTe3
_symmetry_space_group_name_H-M 'P 1'
_symmetry_Int_Tables_number 1
_symmetry_space_group_name_Hall 'P 1'
_cell_length_a 4.424
_cell_length_b 4.424
_cell_length_c 21.797
_cell_angle_alpha 90.00
_cell_angle_beta 90.00
_cell_angle_gamma 120.00
loop_
_atom_site_label
_atom_site_fract_x
_atom_site_fract_y
_atom_site_fract_z
Cd1 0.000 0.000 0.000
Cd2 0.333 0.667 0.667
Cd3 0.667 0.333 0.333
Te1 0.000 0.000 0.254
Te2 0.000 0.000 0.500
Te3 0.000 0.000 0.746
Te4 0.333 0.667 0.167
Te5 0.333 0.667 0.413
Te6 0.333 0.667 0.920
Te7 0.667 0.333 0.080
Te8 0.667 0.333 0.587
Te9 0.667 0.333 0.833

(14)
# BaAc2Al (PBE, optimized geometry)
# calculated formation energy = 0.51 eV/f.u.
# magnetization = 0.01 μB/cell
# offset from the most stable computed form = 0.1910 eV/atom
# space group = R-3m
data_BaAc2Al
_symmetry_space_group_name_H-M 'P 1'
_symmetry_Int_Tables_number 1
_symmetry_space_group_name_Hall 'P 1'
_cell_length_a 5.461
_cell_length_b 5.461
_cell_length_c 19.492
_cell_angle_alpha 90.00
_cell_angle_beta 90.00
_cell_angle_gamma 120.00
loop_
_atom_site_label
_atom_site_fract_x
_atom_site_fract_y
_atom_site_fract_z
Ba1 0.000 0.000 0.000
Ba2 0.333 0.667 0.667
Ba3 0.667 0.333 0.333
Ac1 0.000 0.000 0.223
Ac2 0.000 0.000 0.777
Ac3 0.333 0.667 0.444
Ac4 0.333 0.667 0.890
Ac5 0.667 0.333 0.110
Ac6 0.667 0.333 0.556
Al1 0.000 0.000 0.500
Al2 0.333 0.667 0.167
Al3 0.667 0.333 0.833

(15)
# Y4BiSb2S (PBE, optimized geometry)
# magnetization = 0.00 μB/cell
# formation energy without anion corrections = -1.12 eV/atom
# space group = Cmcm
data_Y4BiSb2S
_symmetry_space_group_name_H-M 'P 1'
_symmetry_Int_Tables_number 1
_symmetry_space_group_name_Hall 'P 1'
_cell_length_a 7.553
_cell_length_b 7.553
_cell_length_c 15.131
_cell_angle_alpha 90.00
_cell_angle_beta 90.00
_cell_angle_gamma 145.99
loop_
_atom_site_label
_atom_site_fract_x
_atom_site_fract_y
_atom_site_fract_z
Y1 0.000 0.000 0.000
Y2 0.000 0.000 0.500
Y3 0.270 0.730 0.621
Y4 0.270 0.730 0.879
Y5 0.453 0.547 0.250
Y6 0.547 0.453 0.750
Y7 0.730 0.270 0.121
Y8 0.730 0.270 0.379
Bi1 0.118 0.882 0.250
Bi2 0.882 0.118 0.750
Sb1 0.367 0.633 0.058
Sb2 0.367 0.633 0.442
Sb3 0.633 0.367 0.558
Sb4 0.633 0.367 0.942
S1 0.148 0.852 0.750
S2 0.852 0.148 0.250

(16)
# LiTi2Mn2 (PBE, optimized geometry)
# calculated formation energy = 0.65 eV/f.u.
# magnetization = 5.32 μB/cell
# space group = P4/mbm
data_LiTi2Mn2
_symmetry_space_group_name_H-M 'P 1'
_symmetry_Int_Tables_number 1
_symmetry_space_group_name_Hall 'P 1'
_cell_length_a 6.918
_cell_length_b 6.918
_cell_length_c 3.117
_cell_angle_alpha 90.00
_cell_angle_beta 90.00
_cell_angle_gamma 90.00
loop_
_atom_site_label
_atom_site_fract_x
_atom_site_fract_y
_atom_site_fract_z
Li1 0.000 0.000 0.000
Li2 0.500 0.500 0.000
Ti1 0.161 0.339 0.500
Ti2 0.339 0.839 0.500
Ti3 0.661 0.161 0.500
Ti4 0.839 0.661 0.500
Mn1 0.132 0.632 0.000
Mn2 0.368 0.132 0.000
Mn3 0.632 0.868 0.000
Mn4 0.868 0.368 0.000

(17)
# P2RhWCl (PBE, optimized geometry)
# magnetization = 0.13 μB/cell
# offset from the most stable computed form = 0.4550 eV/atom
# formation energy without anion corrections = 1.30 eV/atom
# space group = P4/mmm
data_P2RhWCl
_symmetry_space_group_name_H-M 'P 1'
_symmetry_Int_Tables_number 1
_symmetry_space_group_name_Hall 'P 1'
_cell_length_a 4.539
_cell_length_b 4.539
_cell_length_c 4.551
_cell_angle_alpha 90.00
_cell_angle_beta 90.00
_cell_angle_gamma 90.00
loop_
_atom_site_label
_atom_site_fract_x
_atom_site_fract_y
_atom_site_fract_z
P1 0.000 0.500 0.000
P2 0.500 0.000 0.000
Rh1 0.000 0.000 0.000
W1 0.500 0.500 0.500
Cl1 0.000 0.000 0.500

(18)
# Ca2PdPtF (PBE, optimized geometry)
# magnetization = 0.00 μB/cell
# formation energy without anion corrections = -1.16 eV/atom
# space group = P4/mmm
data_Ca2PdPtF
_symmetry_space_group_name_H-M 'P 1'
_symmetry_Int_Tables_number 1
_symmetry_space_group_name_Hall 'P 1'
_cell_length_a 4.663
_cell_length_b 4.663
_cell_length_c 4.454
_cell_angle_alpha 90.00
_cell_angle_beta 90.00
_cell_angle_gamma 90.00
loop_
_atom_site_label
_atom_site_fract_x
_atom_site_fract_y
_atom_site_fract_z
Ca1 0.000 0.500 0.000
Ca2 0.500 0.000 0.000
Pd1 0.000 0.000 0.500
Pt1 0.500 0.500 0.500
F1 0.000 0.000 0.000

(19)
# TmMoOs (PBE, optimized geometry)
# calculated formation energy = 0.73 eV/f.u.
# magnetization = 0.00 μB/cell
# offset from the most stable computed form = 0.0000 eV/atom
# space group = Pmmm
data_TmMoOs
_symmetry_space_group_name_H-M 'P 1'
_symmetry_Int_Tables_number 1
_symmetry_space_group_name_Hall 'P 1'
_cell_length_a 3.232
_cell_length_b 4.009
_cell_length_c 4.926
_cell_angle_alpha 90.00
_cell_angle_beta 90.00
_cell_angle_gamma 90.00
loop_
_atom_site_label
_atom_site_fract_x
_atom_site_fract_y
_atom_site_fract_z
Tm1 0.000 0.000 0.000
Mo1 0.000 0.500 0.500
Os1 0.500 0.000 0.500

(20)
# Pu3SnRh3 (PBE, optimized geometry)
# calculated formation energy = 0.44 eV/f.u.
# magnetization = 4.25 μB/cell
# offset from the most stable computed form = 0.5111 eV/atom
# space group = P6_3/m
data_Pu3SnRh3
_symmetry_space_group_name_H-M 'P 1'
_symmetry_Int_Tables_number 1
_symmetry_space_group_name_Hall 'P 1'
_cell_length_a 8.731
_cell_length_b 8.731
_cell_length_c 3.940
_cell_angle_alpha 90.00
_cell_angle_beta 90.00
_cell_angle_gamma 120.00
loop_
_atom_site_label
_atom_site_fract_x
_atom_site_fract_y
_atom_site_fract_z
Pu1 0.044 0.595 0.250
Pu2 0.405 0.449 0.250
Pu3 0.449 0.044 0.750
Pu4 0.551 0.956 0.250
Pu5 0.595 0.551 0.750
Pu6 0.956 0.405 0.750
Sn1 0.333 0.667 0.750
Sn2 0.667 0.333 0.250
Rh1 0.045 0.226 0.250
Rh2 0.182 0.955 0.250
Rh3 0.226 0.182 0.750
Rh4 0.774 0.818 0.250
Rh5 0.818 0.045 0.750
Rh6 0.955 0.774 0.750